The following is a DFT calculation (PBE+U) of a relaxed structure of SrMn2F6.

E	-55.66	eV/f.u.
DOS at the Fermi energy	0.00	states/eV/atom

```
9
Lattice="4.138 0.000 0.000 2.069 5.402 -0.232 2.069 2.001 6.534" Properties=species:S:1:pos:R:3 pbc="T T T"
F 2.069 2.470 5.270
F 4.138 2.462 2.484
F 4.138 4.940 3.817
F 2.069 2.085 0.546
Sr 2.069 3.701 3.151
Mn 4.138 5.864 5.684
F 6.206 5.317 5.756
F 6.206 4.933 1.032
Mn 4.138 1.539 0.618
```